[1]
The following is a GGA-PBE calculation of a relaxed structure of KMg14B, from the Alexandria database.

Spin magnetization = 0.000 Bohr magnetons per cell
Offset from the most stable computed form = 0.000 eV per formula unit
Symmetry = Amm2
ΔE_f = 0.242 eV/atom

extended XYZ file:
```
16
Lattice="10.0919 0.0000 0.0000 0.0000 3.1215 5.9276 0.0000 -3.1215 5.9276" Properties=species:S:1:pos:R:3 pbc="T T T"
K 0.0000 0.0000 0.0000
Mg 0.0000 -1.5536 8.8322
Mg 0.0000 1.5536 8.8322
Mg 2.3885 0.0000 7.6045
Mg 2.4553 -1.4727 4.6947
Mg 2.4553 1.4727 4.6947
Mg 2.6928 0.0000 1.8003
Mg 5.0459 0.0000 5.8146
Mg 5.0459 -1.5362 8.8077
Mg 5.0459 0.0000 11.6324
Mg 5.0459 1.5362 8.8077
Mg 7.3991 0.0000 1.8003
Mg 7.6366 -1.4727 4.6947
Mg 7.6366 1.4727 4.6947
Mg 7.7034 0.0000 7.6045
B 0.0000 0.0000 4.6790
```


[2]
The following is a GGA-PBE calculation of a relaxed structure of KMgB3, from the Alexandria database.

Spin magnetization = 0.000 Bohr magnetons per cell
Offset from the most stable computed form = 5.282 eV per formula unit
Symmetry = Pm-3m
ΔE_f = 3.030 eV/atom

extended XYZ file:
```
5
Lattice="4.7862 0.0000 0.0000 0.0000 4.7862 0.0000 0.0000 0.0000 4.7862" Properties=species:S:1:pos:R:3 pbc="T T T"
K 0.0000 0.0000 0.0000
Mg 2.3931 2.3931 2.3931
B 0.0000 0.0000 2.3931
B 0.0000 2.3931 0.0000
B 2.3931 0.0000 0.0000
```


[3]
The following is a GGA-PBE calculation of a relaxed structure of KMg6BO8, from the Alexandria database.

Spin magnetization = 0.000 Bohr magnetons per cell
Offset from the most stable computed form = 0.000 eV per formula unit
Symmetry = P4/mmm
Formation energy from raw total energies = -50.04 kcal/mol of atoms

extended XYZ file:
```
16
Lattice="4.6680 0.0000 0.0000 0.0000 4.6680 0.0000 0.0000 0.0000 7.9324" Properties=species:S:1:pos:R:3 pbc="T T T"
K 0.0000 0.0000 0.0000
Mg 0.0000 2.3340 2.0346
Mg 0.0000 2.3340 5.8978
Mg 2.3340 0.0000 2.0346
Mg 2.3340 0.0000 5.8978
Mg 2.3340 2.3340 0.0000
Mg 2.3340 2.3340 3.9662
B 0.0000 0.0000 3.9662
O 0.0000 0.0000 2.6067
O 0.0000 0.0000 5.3257
O 0.0000 2.3340 0.0000
O 0.0000 2.3340 3.9662
O 2.3340 0.0000 0.0000
O 2.3340 0.0000 3.9662
O 2.3340 2.3340 1.9818
O 2.3340 2.3340 5.9506
```